## Cu2SiSb (GGA-PBEsol)

Data for a relaxed structure of Cu2SiSb.

Cell: 3.012 3.012 7.065 Å, 90.00 90.00 90.00°
Positions (direct):
1 Si 0.500 0.500 0.831
2 Cu 0.000 0.000 0.007
3 Cu 0.500 0.500 0.199
4 Sb 0.000 0.000 0.462

Results
Total magnetization in Bohr magnetons per cell: 0.00
VASP energy in eV per atom: -4.5322